Entry 1:
The following is a PBE calculation of an optimized crystal structure of ZnIn2Sb, from Alexandria via LeMat-Bulk.

Cell and atoms, written as CIF:
```
data_ZnIn2Sb
_cell_length_a 10.644
_cell_length_b 3.714
_cell_length_c 5.409
_cell_angle_alpha 90.00
_cell_angle_beta 109.62
_cell_angle_gamma 90.00
_symmetry_space_group_name_H-M 'C 1 m 1'
_symmetry_Int_Tables_number 8
loop_
_symmetry_equiv_pos_as_xyz
'x,y,z'
'x,-y,z'
'x+1/2,y+1/2,z'
'x+1/2,-y+1/2,z'
loop_
_atom_site_label
_atom_site_type_symbol
_atom_site_fract_x
_atom_site_fract_y
_atom_site_fract_z
Zn1 Zn 0.000 0.000 0.000
In1 In 0.260 0.000 0.827
In2 In 0.477 0.000 0.529
Sb1 Sb 0.207 0.500 0.277
```

Results
The calculation puts the excess energy over the best structure of this formula in the dataset at 28 meV/atom. The crystal system is monoclinic.


Entry 2:
The following is a PBE calculation of an optimized crystal structure of ZnIn2Sb, from Alexandria via LeMat-Bulk.

Cell and atoms, written as CIF:
```
data_ZnIn2Sb
_cell_length_a 3.424
_cell_length_b 4.293
_cell_length_c 7.025
_cell_angle_alpha 90.00
_cell_angle_beta 102.09
_cell_angle_gamma 90.00
_symmetry_space_group_name_H-M 'P 1 m 1'
_symmetry_Int_Tables_number 6
loop_
_symmetry_equiv_pos_as_xyz
'x,y,z'
'x,-y,z'
loop_
_atom_site_label
_atom_site_type_symbol
_atom_site_fract_x
_atom_site_fract_y
_atom_site_fract_z
Zn1 Zn 0.000 0.000 0.000
In1 In 0.227 0.000 0.464
In2 In 0.583 0.500 0.176
Sb1 Sb 0.876 0.500 0.732
```

Results
The calculation puts the excess energy over the best structure of this formula in the dataset at 11 meV/atom. The crystal system is monoclinic.


Entry 3:
The following is a PBE calculation of an optimized crystal structure of ZnIn2Sb, from Alexandria via LeMat-Bulk.

Cell and atoms, written as CIF:
```
data_ZnIn2Sb
_cell_length_a 11.382
_cell_length_b 3.261
_cell_length_c 5.633
_cell_angle_alpha 90.00
_cell_angle_beta 109.31
_cell_angle_gamma 90.00
_symmetry_space_group_name_H-M 'C 1 2/m 1'
_symmetry_Int_Tables_number 12
loop_
_symmetry_equiv_pos_as_xyz
'x,y,z'
'-x,-y,-z'
'-x,y,-z'
'x,-y,z'
'x+1/2,y+1/2,z'
'-x+1/2,-y+1/2,-z'
'-x+1/2,y+1/2,-z'
'x+1/2,-y+1/2,z'
loop_
_atom_site_label
_atom_site_type_symbol
_atom_site_fract_x
_atom_site_fract_y
_atom_site_fract_z
Zn1 Zn 0.000 0.000 0.000
In1 In 0.230 0.500 0.232
Sb1 Sb 0.000 0.500 0.500
```

Results
The calculation puts the excess energy over the best structure of this formula in the dataset at 40 meV/atom. The crystal system is monoclinic.


Entry 4:
The following is a PBE calculation of an optimized crystal structure of ZnInSb2, from Alexandria via LeMat-Bulk.

Cell and atoms, written as CIF:
```
data_ZnInSb2
_cell_length_a 7.361
_cell_length_b 7.361
_cell_length_c 7.361
_cell_angle_alpha 90.00
_cell_angle_beta 90.00
_cell_angle_gamma 90.00
_symmetry_space_group_name_H-M 'F m -3 m'
_symmetry_Int_Tables_number 225
_symmetry_space_group_name_Hall '-F 4 2 3'
loop_
_atom_site_label
_atom_site_type_symbol
_atom_site_fract_x
_atom_site_fract_y
_atom_site_fract_z
Zn1 Zn 0.000 0.000 0.000
In1 In 0.000 0.000 0.500
Sb1 Sb 0.250 0.250 0.250
```

Results
The crystal system is cubic.


Entry 5:
The following is a PBE calculation of an optimized crystal structure of Zn2InSb2, from Alexandria via LeMat-Bulk.

Cell and atoms, written as CIF:
```
data_Zn2InSb2
_cell_length_a 8.255
_cell_length_b 8.255
_cell_length_c 3.445
_cell_angle_alpha 90.00
_cell_angle_beta 90.00
_cell_angle_gamma 90.00
_symmetry_space_group_name_H-M 'P 4/m b m'
_symmetry_Int_Tables_number 127
_symmetry_space_group_name_Hall '-P 4 2ab'
loop_
_atom_site_label
_atom_site_type_symbol
_atom_site_fract_x
_atom_site_fract_y
_atom_site_fract_z
Zn1 Zn 0.132 0.368 0.000
In1 In 0.000 0.000 0.000
Sb1 Sb 0.160 0.660 0.500
```

Results
The crystal system is tetragonal.


Entry 6:
The following is a PBE calculation of an optimized crystal structure of ZnIn3Sb, from Alexandria via LeMat-Bulk.

Cell and atoms, written as CIF:
```
data_ZnIn3Sb
_cell_length_a 5.225
_cell_length_b 5.225
_cell_length_c 5.225
_cell_angle_alpha 90.00
_cell_angle_beta 90.00
_cell_angle_gamma 90.00
_symmetry_space_group_name_H-M 'P m -3 m'
_symmetry_Int_Tables_number 221
_symmetry_space_group_name_Hall '-P 4 2 3'
loop_
_atom_site_label
_atom_site_type_symbol
_atom_site_fract_x
_atom_site_fract_y
_atom_site_fract_z
Zn1 Zn 0.000 0.000 0.000
In1 In 0.000 0.000 0.500
Sb1 Sb 0.500 0.500 0.500
```

Results
The calculation puts the excess energy over the best structure of this formula in the dataset at 0 meV/atom. The crystal system is cubic.


Entry 7:
The following is a PBE calculation of an optimized crystal structure of ZnInSb2, from Alexandria via LeMat-Bulk.

Cell and atoms, written as CIF:
```
data_ZnInSb2
_cell_length_a 6.486
_cell_length_b 7.805
_cell_length_c 3.957
_cell_angle_alpha 90.00
_cell_angle_beta 90.00
_cell_angle_gamma 90.00
_symmetry_space_group_name_H-M 'C m m m'
_symmetry_Int_Tables_number 65
_symmetry_space_group_name_Hall '-C 2 2'
loop_
_atom_site_label
_atom_site_type_symbol
_atom_site_fract_x
_atom_site_fract_y
_atom_site_fract_z
Zn1 Zn 0.000 0.000 0.000
In1 In 0.000 0.500 0.000
Sb1 Sb 0.250 0.250 0.500
```

Results
The crystal system is orthorhombic.


Entry 8:
The following is a PBE calculation of an optimized crystal structure of ZnIn2Sb, from Alexandria via LeMat-Bulk.

Cell and atoms, written as CIF:
```
data_ZnIn2Sb
_cell_length_a 7.472
_cell_length_b 7.472
_cell_length_c 7.472
_cell_angle_alpha 90.00
_cell_angle_beta 90.00
_cell_angle_gamma 90.00
_symmetry_space_group_name_H-M 'F m -3 m'
_symmetry_Int_Tables_number 225
_symmetry_space_group_name_Hall '-F 4 2 3'
loop_
_atom_site_label
_atom_site_type_symbol
_atom_site_fract_x
_atom_site_fract_y
_atom_site_fract_z
Zn1 Zn 0.000 0.000 0.000
In1 In 0.250 0.250 0.250
Sb1 Sb 0.000 0.000 0.500
```

Results
The calculation puts the excess energy over the best structure of this formula in the dataset at 42 meV/atom. The crystal system is cubic.


Entry 9:
The following is a PBE calculation of an optimized crystal structure of ZnIn3Sb, from Alexandria via LeMat-Bulk.

Cell and atoms, written as CIF:
```
data_ZnIn3Sb
_cell_length_a 5.772
_cell_length_b 5.772
_cell_length_c 5.772
_cell_angle_alpha 90.00
_cell_angle_beta 90.00
_cell_angle_gamma 90.00
_symmetry_space_group_name_H-M 'P m -3 m'
_symmetry_Int_Tables_number 221
_symmetry_space_group_name_Hall '-P 4 2 3'
loop_
_atom_site_label
_atom_site_type_symbol
_atom_site_fract_x
_atom_site_fract_y
_atom_site_fract_z
Zn1 Zn 0.000 0.000 0.000
In1 In 0.000 0.500 0.500
Sb1 Sb 0.500 0.500 0.500
```

Results
The calculation puts the excess energy over the best structure of this formula in the dataset at 322 meV/atom. The crystal system is cubic.


Entry 10:
The following is a PBE calculation of an optimized crystal structure of ZnInSb2, from Alexandria via LeMat-Bulk.

Cell and atoms, written as CIF:
```
data_ZnInSb2
_cell_length_a 5.065
_cell_length_b 5.065
_cell_length_c 7.935
_cell_angle_alpha 90.00
_cell_angle_beta 90.00
_cell_angle_gamma 90.00
_symmetry_space_group_name_H-M 'I -4 m 2'
_symmetry_Int_Tables_number 119
_symmetry_space_group_name_Hall 'I -4 -2'
loop_
_atom_site_label
_atom_site_type_symbol
_atom_site_fract_x
_atom_site_fract_y
_atom_site_fract_z
Zn1 Zn 0.000 0.000 0.000
In1 In 0.000 0.500 0.750
Sb1 Sb 0.000 0.000 0.500
Sb2 Sb 0.000 0.500 0.250
```

Results
The crystal system is tetragonal.


Entry 11:
The following is a PBE calculation of an optimized crystal structure of ZnInSb2, from Alexandria via LeMat-Bulk.

Cell and atoms, written as CIF:
```
data_ZnInSb2
_cell_length_a 3.279
_cell_length_b 5.137
_cell_length_c 6.440
_cell_angle_alpha 90.00
_cell_angle_beta 90.11
_cell_angle_gamma 90.00
_symmetry_space_group_name_H-M 'P 1 m 1'
_symmetry_Int_Tables_number 6
loop_
_symmetry_equiv_pos_as_xyz
'x,y,z'
'x,-y,z'
loop_
_atom_site_label
_atom_site_type_symbol
_atom_site_fract_x
_atom_site_fract_y
_atom_site_fract_z
Zn1 Zn 0.000 0.000 0.000
In1 In 0.491 0.500 0.793
Sb1 Sb 0.474 0.000 0.579
Sb2 Sb 0.987 0.500 0.191
```

Results
The crystal system is monoclinic.


Entry 12:
The following is a PBE calculation of an optimized crystal structure of ZnInSb2, from Alexandria via LeMat-Bulk.

Cell and atoms, written as CIF:
```
data_ZnInSb2
_cell_length_a 3.994
_cell_length_b 5.127
_cell_length_c 9.636
_cell_angle_alpha 90.00
_cell_angle_beta 90.00
_cell_angle_gamma 90.00
_symmetry_space_group_name_H-M 'C m m 2'
_symmetry_Int_Tables_number 35
loop_
_symmetry_equiv_pos_as_xyz
'x,y,z'
'-x,-y,z'
'-x,y,z'
'x,-y,z'
'x+1/2,y+1/2,z'
'-x+1/2,-y+1/2,z'
'-x+1/2,y+1/2,z'
'x+1/2,-y+1/2,z'
loop_
_atom_site_label
_atom_site_type_symbol
_atom_site_fract_x
_atom_site_fract_y
_atom_site_fract_z
Zn1 Zn 0.000 0.000 0.000
In1 In 0.000 0.500 0.778
Sb1 Sb 0.000 0.000 0.514
Sb2 Sb 0.000 0.500 0.214
```

Results
The crystal system is orthorhombic.


Entry 13:
The following is a PBE calculation of an optimized crystal structure of ZnInSb2, from Alexandria via LeMat-Bulk.

Cell and atoms, written as CIF:
```
data_ZnInSb2
_cell_length_a 3.994
_cell_length_b 5.170
_cell_length_c 9.773
_cell_angle_alpha 90.00
_cell_angle_beta 90.00
_cell_angle_gamma 90.00
_symmetry_space_group_name_H-M 'C m m m'
_symmetry_Int_Tables_number 65
_symmetry_space_group_name_Hall '-C 2 2'
loop_
_atom_site_label
_atom_site_type_symbol
_atom_site_fract_x
_atom_site_fract_y
_atom_site_fract_z
Zn1 Zn 0.000 0.000 0.000
In1 In 0.000 0.000 0.500
Sb1 Sb 0.000 0.500 0.215
```

Results
The crystal system is orthorhombic.


Entry 14:
The following is a PBE calculation of an optimized crystal structure of Zn2InSb2, from Alexandria via LeMat-Bulk.

Cell and atoms, written as CIF:
```
data_Zn2InSb2
_cell_length_a 8.484
_cell_length_b 8.484
_cell_length_c 3.317
_cell_angle_alpha 90.00
_cell_angle_beta 90.00
_cell_angle_gamma 90.00
_symmetry_space_group_name_H-M 'P 4/m b m'
_symmetry_Int_Tables_number 127
_symmetry_space_group_name_Hall '-P 4 2ab'
loop_
_atom_site_label
_atom_site_type_symbol
_atom_site_fract_x
_atom_site_fract_y
_atom_site_fract_z
Zn1 Zn 0.137 0.363 0.000
In1 In 0.000 0.000 0.500
Sb1 Sb 0.160 0.660 0.500
```

Results
The crystal system is tetragonal.


no.,uncorrected formation energy (kJ per mole of atoms)
1,9.2
2,7.6
3,10.4
4,19.1
5,13.1
6,23.6
7,18.1
8,10.6
9,54.7
10,17.7
11,11.2
12,15.4
13,12.1
14,13.5